[1]
HfSbI3 | GGA-PBEsol | optimized geometry

- DOS at the Fermi energy (states/eV per cell) = 2.3
- volume (A^3/atom) = 35.4
- energy relative to the elements, uncorrected (meV/atom) = 95.5
- SG = Pm-3m, No. 221

Cell and atoms, written as extended XYZ:
```
5
Lattice="5.615 0.000 0.000 0.000 5.615 0.000 0.000 0.000 5.615" Properties=species:S:1:pos:R:3 pbc="T T T"
Hf 0.000 0.000 0.000
Sb 2.808 2.808 2.808
I 0.000 0.000 2.808
I 0.000 2.808 0.000
I 2.808 0.000 0.000
```

***

[2]
HfScSb2I | GGA-PBEsol | optimized geometry

- DOS at the Fermi energy (states/eV per cell) = 5.2
- volume (A^3/atom) = 32.5
- energy relative to the elements, uncorrected (meV/atom) = 218.3
- SG = P4/mmm, No. 123

Cell and atoms, written as extended XYZ:
```
5
Lattice="5.457 0.000 0.000 0.000 5.457 0.000 0.000 0.000 5.448" Properties=species:S:1:pos:R:3 pbc="T T T"
Hf 0.000 0.000 0.000
Sc 2.729 2.729 2.724
Sb 0.000 2.729 0.000
Sb 2.729 0.000 0.000
I 0.000 0.000 2.724
```

***

[3]
HfTaSbI2 | GGA-PBEsol | optimized geometry

- DOS at the Fermi energy (states/eV per cell) = 6.5
- volume (A^3/atom) = 32.6
- energy relative to the elements, uncorrected (meV/atom) = 1114.0
- SG = P4/mmm, No. 123

Cell and atoms, written as extended XYZ:
```
5
Lattice="5.381 0.000 0.000 0.000 5.381 0.000 0.000 0.000 5.635" Properties=species:S:1:pos:R:3 pbc="T T T"
Hf 0.000 0.000 0.000
Ta 2.690 2.690 2.818
Sb 0.000 0.000 2.818
I 0.000 2.690 0.000
I 2.690 0.000 0.000
```

***

[4]
HfSbTe2I | GGA-PBEsol | optimized geometry

- DOS at the Fermi energy (states/eV per cell) = 4.9
- volume (A^3/atom) = 34.7
- energy relative to the elements, uncorrected (meV/atom) = 1275.2
- SG = P4/mmm, No. 123

Cell and atoms, written as extended XYZ:
```
5
Lattice="5.542 0.000 0.000 0.000 5.542 0.000 0.000 0.000 5.649" Properties=species:S:1:pos:R:3 pbc="T T T"
Hf 0.000 0.000 0.000
Sb 2.771 2.771 0.000
Te 0.000 2.771 2.824
Te 2.771 0.000 2.824
I 2.771 2.771 2.824
```

***

[5]
HfTl2SbI | GGA-PBEsol | optimized geometry

- DOS at the Fermi energy (states/eV per cell) = 4.7
- volume (A^3/atom) = 38.4
- energy relative to the elements, uncorrected (meV/atom) = 629.2
- SG = P4/mmm, No. 123

Cell and atoms, written as extended XYZ:
```
5
Lattice="5.982 0.000 0.000 0.000 5.982 0.000 0.000 0.000 5.367" Properties=species:S:1:pos:R:3 pbc="T T T"
Hf 0.000 0.000 0.000
Tl 0.000 2.991 2.683
Tl 2.991 0.000 2.683
Sb 0.000 0.000 2.683
I 2.991 2.991 0.000
```

***

[6]
HfTlSbI2 | GGA-PBEsol | optimized geometry

- DOS at the Fermi energy (states/eV per cell) = 3.7
- volume (A^3/atom) = 36.8
- energy relative to the elements, uncorrected (meV/atom) = 989.5
- SG = P4/mmm, No. 123

Cell and atoms, written as extended XYZ:
```
5
Lattice="5.717 0.000 0.000 0.000 5.717 0.000 0.000 0.000 5.625" Properties=species:S:1:pos:R:3 pbc="T T T"
Hf 0.000 0.000 0.000
Tl 2.858 2.858 2.813
Sb 2.858 2.858 0.000
I 0.000 2.858 2.813
I 2.858 0.000 2.813
```

***

[7]
HfZnSbI2 | GGA-PBEsol | optimized geometry

- DOS at the Fermi energy (states/eV per cell) = 3.2
- volume (A^3/atom) = 34.5
- energy relative to the elements, uncorrected (meV/atom) = 96.0
- SG = P4/mmm, No. 123

Cell and atoms, written as extended XYZ:
```
5
Lattice="5.560 0.000 0.000 0.000 5.560 0.000 0.000 0.000 5.583" Properties=species:S:1:pos:R:3 pbc="T T T"
Hf 0.000 0.000 0.000
Zn 2.780 2.780 2.792
Sb 0.000 0.000 2.792
I 0.000 2.780 0.000
I 2.780 0.000 0.000
```

***

[8]
HfScI2 | GGA-PBEsol | optimized geometry

- DOS at the Fermi energy (states/eV per cell) = 8.4
- volume (A^3/atom) = 26.5
- energy relative to the elements, uncorrected (meV/atom) = 146.0
- SG = I-42d, No. 122

Cell and atoms, written as extended XYZ:
```
8
Lattice="-3.884 3.884 3.512 3.884 -3.884 3.512 3.884 3.884 -3.512" Properties=species:S:1:pos:R:3 pbc="T T T"
Hf 0.000 0.000 0.000
Hf 0.000 3.884 1.756
Sc 3.884 0.000 1.756
Sc 0.000 0.000 3.512
I 1.942 1.937 -0.878
I 1.946 -1.942 4.390
I 1.942 1.946 2.634
I 1.937 5.826 0.878
```

***

[9]
HfSe3I | GGA-PBEsol | optimized geometry

- DOS at the Fermi energy (states/eV per cell) = 4.9
- volume (A^3/atom) = 26.9
- energy relative to the elements, uncorrected (meV/atom) = -309.9
- SG = Pm-3m, No. 221

Cell and atoms, written as extended XYZ:
```
5
Lattice="5.123 0.000 0.000 0.000 5.123 0.000 0.000 0.000 5.123" Properties=species:S:1:pos:R:3 pbc="T T T"
Hf 0.000 0.000 0.000
Se 0.000 0.000 2.562
Se 0.000 2.562 0.000
Se 2.562 0.000 0.000
I 2.562 2.562 2.562
```

***

[10]
HfSiI2 | GGA-PBEsol | optimized geometry

- DOS at the Fermi energy (states/eV per cell) = 2.4
- volume (A^3/atom) = 22.3
- energy relative to the elements, uncorrected (meV/atom) = 285.4
- SG = Fm-3m, No. 225

Cell and atoms, written as extended XYZ:
```
4
Lattice="0.000 3.547 3.547 3.547 0.000 3.547 3.547 3.547 0.000" Properties=species:S:1:pos:R:3 pbc="T T T"
Hf 0.000 0.000 0.000
Si 3.547 3.547 3.547
I 1.773 1.773 1.773
I 5.320 5.320 5.320
```

***

[11]
Hf2SiI | GGA-PBEsol | optimized geometry

- DOS at the Fermi energy (states/eV per cell) = 6.2
- volume (A^3/atom) = 27.9
- energy relative to the elements, uncorrected (meV/atom) = 511.5
- SG = I-42d, No. 122

Cell and atoms, written as extended XYZ:
```
8
Lattice="-2.767 2.767 7.287 2.767 -2.767 7.287 2.767 2.767 -7.287" Properties=species:S:1:pos:R:3 pbc="T T T"
Hf 4.151 1.005 -1.822
Hf 1.005 1.384 1.822
Hf -1.384 1.762 5.465
Hf 1.762 1.384 9.109
Si 0.000 0.000 0.000
Si 0.000 2.767 3.643
I 2.767 0.000 3.643
I 0.000 0.000 7.287
```

***

[12]
HfSiTeI2 | GGA-PBEsol | optimized geometry

- DOS at the Fermi energy (states/eV per cell) = 4.5
- volume (A^3/atom) = 29.1
- energy relative to the elements, uncorrected (meV/atom) = 673.7
- SG = P4/mmm, No. 123

Cell and atoms, written as extended XYZ:
```
5
Lattice="5.214 0.000 0.000 0.000 5.214 0.000 0.000 0.000 5.350" Properties=species:S:1:pos:R:3 pbc="T T T"
Hf 0.000 0.000 0.000
Si 2.607 2.607 2.675
Te 2.607 2.607 0.000
I 0.000 2.607 2.675
I 2.607 0.000 2.675
```

***

[13]
SrHfTe2I | GGA-PBEsol | optimized geometry

- DOS at the Fermi energy (states/eV per cell) = 1.8
- volume (A^3/atom) = 34.3
- energy relative to the elements, uncorrected (meV/atom) = -782.6
- SG = P4/mmm, No. 123

Cell and atoms, written as extended XYZ:
```
5
Lattice="5.580 0.000 0.000 0.000 5.580 0.000 0.000 0.000 5.509" Properties=species:S:1:pos:R:3 pbc="T T T"
Sr 0.000 0.000 0.000
Hf 2.790 2.790 2.754
Te 0.000 2.790 2.754
Te 2.790 0.000 2.754
I 2.790 2.790 0.000
```

***

[14]
HfZrTc2I | GGA-PBEsol | optimized geometry

- DOS at the Fermi energy (states/eV per cell) = 4.5
- volume (A^3/atom) = 22.5
- energy relative to the elements, uncorrected (meV/atom) = 1450.7
- SG = P4/mmm, No. 123

Cell and atoms, written as extended XYZ:
```
5
Lattice="4.729 0.000 0.000 0.000 4.729 0.000 0.000 0.000 5.024" Properties=species:S:1:pos:R:3 pbc="T T T"
Hf 0.000 0.000 0.000
Zr 2.364 2.364 0.000
Tc 0.000 2.364 2.512
Tc 2.364 0.000 2.512
I 0.000 0.000 2.512
```

***

[15]
HfZrTe2I | GGA-PBEsol | optimized geometry

- DOS at the Fermi energy (states/eV per cell) = 5.6
- volume (A^3/atom) = 32.3
- energy relative to the elements, uncorrected (meV/atom) = 295.5
- SG = P4/mmm, No. 123

Cell and atoms, written as extended XYZ:
```
5
Lattice="5.464 0.000 0.000 0.000 5.464 0.000 0.000 0.000 5.406" Properties=species:S:1:pos:R:3 pbc="T T T"
Hf 0.000 0.000 0.000
Zr 2.732 2.732 2.703
Te 0.000 2.732 0.000
Te 2.732 0.000 0.000
I 0.000 0.000 2.703
```

***

[16]
HfZr2InIr | GGA-PBEsol | optimized geometry

- DOS at the Fermi energy (states/eV per cell) = 4.4
- volume (A^3/atom) = 24.5
- SG = P4/mmm, No. 123
- raw total energy (Ha/atom) = -0.2501

Cell and atoms, written as extended XYZ:
```
5
Lattice="4.893 0.000 0.000 0.000 4.893 0.000 0.000 0.000 5.123" Properties=species:S:1:pos:R:3 pbc="T T T"
Hf 0.000 0.000 0.000
Zr 0.000 2.447 0.000
Zr 2.447 0.000 0.000
In 0.000 0.000 2.562
Ir 2.447 2.447 2.562
```

***

[17]
KHf3In | GGA-PBEsol | optimized geometry

- DOS at the Fermi energy (states/eV per cell) = 10.5
- volume (A^3/atom) = 30.9
- SG = Pm-3m, No. 221
- raw total energy (Ha/atom) = -0.2089

Cell and atoms, written as extended XYZ:
```
5
Lattice="5.364 0.000 0.000 0.000 5.364 0.000 0.000 0.000 5.364" Properties=species:S:1:pos:R:3 pbc="T T T"
K 0.000 0.000 0.000
Hf 0.000 2.682 2.682
Hf 2.682 0.000 2.682
Hf 2.682 2.682 0.000
In 2.682 2.682 2.682
```

***

[18]
KHfIn3 | GGA-PBEsol | optimized geometry

- DOS at the Fermi energy (states/eV per cell) = 7.0
- volume (A^3/atom) = 34.5
- SG = Pm-3m, No. 221
- raw total energy (Ha/atom) = -0.1397

Cell and atoms, written as extended XYZ:
```
5
Lattice="5.568 0.000 0.000 0.000 5.568 0.000 0.000 0.000 5.568" Properties=species:S:1:pos:R:3 pbc="T T T"
K 0.000 0.000 0.000
Hf 2.784 2.784 2.784
In 0.000 2.784 2.784
In 2.784 0.000 2.784
In 2.784 2.784 0.000
```

***

[19]
LaHf2InNi | GGA-PBEsol | optimized geometry

- DOS at the Fermi energy (states/eV per cell) = 7.8
- volume (A^3/atom) = 30.7
- SG = P4/mmm, No. 123
- raw total energy (Ha/atom) = -0.2065

Cell and atoms, written as extended XYZ:
```
5
Lattice="5.155 0.000 0.000 0.000 5.155 0.000 0.000 0.000 5.782" Properties=species:S:1:pos:R:3 pbc="T T T"
La 0.000 0.000 0.000
Hf 0.000 2.577 2.891
Hf 2.577 0.000 2.891
In 0.000 0.000 2.891
Ni 2.577 2.577 0.000
```

***

[20]
Li2HfIn2 | GGA-PBEsol | optimized geometry

- DOS at the Fermi energy (states/eV per cell) = 3.0
- volume (A^3/atom) = 19.7
- SG = I4/mmm, No. 139
- raw total energy (Ha/atom) = -0.1521

Cell and atoms, written as extended XYZ:
```
5
Lattice="-1.917 1.917 6.696 1.917 -1.917 6.696 1.917 1.917 -6.696" Properties=species:S:1:pos:R:3 pbc="T T T"
Li 1.917 0.000 3.348
Li 0.000 1.917 3.348
Hf 0.000 0.000 0.000
In 0.000 0.000 5.298
In 0.000 0.000 8.094
```